one | DFT (PBE) results for a relaxed structure of In5Sn3Br12.

Output
Magnetic moment: 0.000 μB/cell
Calculated volume: 37.991 Å³/atom

Cell: 15.805 15.805 15.805 Å, 109.47 109.47 109.47°
Element x y z (fractional)
Sn 0.750 0.375 0.125
Sn 0.875 0.750 0.125
Sn 0.375 0.750 0.625
Sn 0.250 0.125 0.375
Sn 0.875 0.125 0.250
Sn 0.375 0.625 0.250
Sn 0.625 0.375 0.750
Sn 0.125 0.875 0.750
Sn 0.750 0.875 0.625
Sn 0.625 0.250 0.375
Sn 0.125 0.250 0.875
Sn 0.250 0.625 0.875
In 0.125 0.375 0.250
In 0.000 0.500 0.000
In 0.000 0.000 0.000
In 0.375 0.250 0.125
In 0.500 0.000 0.500
In 0.500 0.500 0.000
In 0.125 0.750 0.375
In 0.750 0.125 0.875
In 0.750 0.625 0.375
In 0.375 0.125 0.750
In 0.625 0.875 0.250
In 0.500 0.500 0.500
In 0.500 0.000 0.000
In 0.000 0.000 0.500
In 0.250 0.375 0.625
In 0.250 0.875 0.125
In 0.000 0.500 0.500
In 0.875 0.250 0.625
In 0.625 0.750 0.875
In 0.875 0.625 0.750
Br 0.732 0.127 0.062
Br 0.330 0.562 0.435
Br 0.938 0.373 0.268
Br 0.562 0.232 0.127
Br 0.606 0.732 0.670
Br 0.938 0.565 0.170
Br 0.330 0.768 0.394
Br 0.065 0.894 0.127
Br 0.565 0.938 0.670
Br 0.732 0.606 0.170
Br 0.768 0.438 0.373
Br 0.830 0.935 0.062
Br 0.127 0.732 0.562
Br 0.373 0.435 0.106
Br 0.106 0.935 0.373
Br 0.394 0.127 0.565
Br 0.106 0.170 0.232
Br 0.438 0.670 0.065
Br 0.830 0.894 0.268
Br 0.127 0.394 0.065
Br 0.373 0.938 0.768
Br 0.565 0.627 0.394
Br 0.935 0.830 0.562
Br 0.768 0.330 0.894
Br 0.435 0.373 0.606
Br 0.065 0.170 0.438
Br 0.232 0.670 0.106
Br 0.170 0.106 0.732
Br 0.627 0.062 0.232
Br 0.873 0.606 0.935
Br 0.562 0.330 0.935
Br 0.606 0.873 0.435
Br 0.894 0.830 0.768
Br 0.894 0.065 0.627
Br 0.873 0.268 0.438
Br 0.170 0.065 0.938
Br 0.627 0.565 0.894
Br 0.435 0.062 0.330
Br 0.268 0.394 0.830
Br 0.232 0.562 0.627
Br 0.935 0.106 0.873
Br 0.670 0.232 0.606
Br 0.438 0.768 0.873
Br 0.062 0.435 0.830
Br 0.394 0.268 0.330
Br 0.062 0.627 0.732
Br 0.670 0.438 0.565
Br 0.268 0.873 0.938

***

two | DFT (PBE) results for a relaxed structure of In5Sn3Br12.

Output
Magnetic moment: 0.000 μB/cell
Calculated volume: 34.685 Å³/atom

Cell: 4.427 13.452 13.452 Å, 120.00 90.00 90.00°
Element x y z (fractional)
In 0.000 0.333 0.667
In 0.000 0.667 0.333
In 0.000 0.295 0.000
In 0.000 0.705 0.705
In 0.000 0.000 0.295
Sn 0.500 0.677 0.000
Sn 0.500 0.323 0.323
Sn 0.500 0.000 0.677
Br 0.000 0.829 0.000
Br 0.000 0.171 0.171
Br 0.000 0.000 0.829
Br 0.000 0.528 0.000
Br 0.000 0.472 0.472
Br 0.000 0.000 0.528
Br 0.500 0.194 0.453
Br 0.500 0.258 0.806
Br 0.500 0.806 0.258
Br 0.500 0.547 0.742
Br 0.500 0.742 0.547
Br 0.500 0.453 0.194

***

Stability check: which of them is least stable? one.

***

one | DFT (PBE) results for a relaxed structure of InSn2Br.

Output
Magnetic moment: 0.000 μB/cell
Calculated volume: 27.308 Å³/atom

Cell: 5.366 5.366 5.366 Å, 60.00 60.00 60.00°
Element x y z (fractional)
Sn 0.250 0.250 0.250
Sn 0.750 0.750 0.750
Br 0.000 0.000 0.000
In 0.500 0.500 0.500

***

two | DFT (PBE) results for a relaxed structure of InSn2Br.

Output
Magnetic moment: 0.000 μB/cell
Calculated volume: 38.276 Å³/atom

Cell: 6.104 6.104 9.283 Å, 70.81 70.81 90.00°
Element x y z (fractional)
Sn 0.633 0.125 0.250
Sn 0.117 0.625 0.250
Sn 0.375 0.367 0.750
Sn 0.875 0.883 0.750
Br 0.500 0.500 0.000
Br 0.250 0.750 0.500
In 0.000 0.000 0.000
In 0.750 0.250 0.500

***

Stability check: which of them is least stable? two.